1.
CdFeCo2 (GGA-PBE, relaxed); V = 14.72 Å³/atom; raw total energy = -5.31 eV/atom; space-group type = I-42d, No. 122; theoretical density = 8.068 g/cm³; spin magnetization = 5.962 μB per formula unit
1.0
6.751 0.000 0.000
0.000 6.751 0.000
3.375 3.375 2.584
Co Fe Cd
4 2 2
Cartesian
4.780 1.688 0.646
1.971 5.063 0.646
5.063 5.346 1.938
8.438 8.155 1.938
3.375 3.375 0.000
3.375 6.751 1.292
0.000 0.000 0.000
6.751 3.375 1.292

=====

2.
CdFeCo (GGA-PBE, relaxed); V = 14.42 Å³/atom; space-group type = I4mm, No. 107; theoretical density = 8.718 g/cm³; spin magnetization = 4.243 μB per formula unit; excess energy over the best structure of this formula in the dataset = 34 kJ/mol of formula units
1.0
-2.329 1.991 -4.326
-0.114 -1.520 -5.077
-0.494 -1.401 5.088
Cd Co Fe
1 1 1
Cartesian
-2.438 0.470 -9.384
-0.756 0.146 -2.910
-1.691 0.326 -6.511

=====

3.
CdFe2Co (GGA-PBE, relaxed); V = 13.67 Å³/atom; raw total energy = -5.91 eV/atom; space-group type = Cmmm, No. 65; theoretical density = 8.594 g/cm³; spin magnetization = 6.789 μB per formula unit
1.0
-3.811 0.000 2.573
-1.006 -1.537 -4.216
0.544 -2.563 0.805
Cd Co Fe
1 1 2
Cartesian
-1.634 -1.282 1.689
-0.231 -2.050 -1.705
0.000 0.000 0.000
-2.409 -0.769 -0.821

=====

4.
Cd2FeCo (GGA-PBE, relaxed); V = 16.07 Å³/atom; raw total energy = -3.94 eV/atom; space-group type = R-3m, No. 166; theoretical density = 8.771 g/cm³; spin magnetization = 4.159 μB per formula unit
1.0
9.295 -0.002 -0.001
8.859 2.813 -0.001
8.859 1.372 2.456
Cd Co Fe
2 1 1
Cartesian
26.970 4.177 2.450
13.549 2.098 1.231
6.753 1.046 0.614
20.260 3.138 1.841

=====

5.
CdFeCo2 (GGA-PBE, relaxed); V = 13.58 Å³/atom; raw total energy = -5.63 eV/atom; space-group type = C2/m, No. 12; theoretical density = 8.748 g/cm³; spin magnetization = 5.593 μB per formula unit
1.0
4.468 -0.007 0.006
3.621 2.617 0.006
1.011 0.326 4.636
Cd Co Fe
1 2 1
Cartesian
2.275 0.734 1.162
1.091 0.352 4.426
4.471 1.442 2.533
6.825 2.202 3.485

=====

6.
CdFe2Co (GGA-PBE, relaxed); V = 13.70 Å³/atom; raw total energy = -5.96 eV/atom; space-group type = Imm2, No. 44; theoretical density = 8.576 g/cm³; spin magnetization = 6.822 μB per formula unit
1.0
4.975 -0.019 -0.013
2.203 4.460 0.013
-3.095 -3.020 2.460
Cd Co Fe
1 1 2
Cartesian
3.606 2.231 0.000
2.864 -0.329 1.224
7.159 4.430 0.000
1.222 1.752 1.237

=====

7.
CdFeCo (GGA-PBE, relaxed); V = 14.43 Å³/atom; space-group type = P4/nmm, No. 129; theoretical density = 8.718 g/cm³; spin magnetization = 4.026 μB per formula unit; excess energy over the best structure of this formula in the dataset = 0 kJ/mol of formula units
1.0
-3.260 -2.437 0.858
2.794 0.142 0.918
-2.730 6.234 7.333
Fe Cd Co
2 2 2
Cartesian
0.382 -0.081 1.212
-3.578 4.020 7.898
-0.452 1.824 3.455
-2.744 2.115 5.655
-1.616 4.481 6.577
-1.580 -0.542 2.532

=====

8.
CdFe2Co (GGA-PBE, relaxed); V = 13.56 Å³/atom; raw total energy = -5.95 eV/atom; space-group type = P4/mmm, No. 123; theoretical density = 8.665 g/cm³; spin magnetization = 6.678 μB per formula unit
1.0
-2.295 3.056 0.724
0.246 -0.683 3.663
3.005 2.207 0.210
Cd Co Fe
1 1 2
Cartesian
-1.024 1.186 2.194
0.355 2.631 0.467
0.000 0.000 0.000
1.626 0.762 1.936

=====

Copy entry 5 word for word.
CdFeCo2 (GGA-PBE, relaxed); V = 13.58 Å³/atom; raw total energy = -5.63 eV/atom; space-group type = C2/m, No. 12; theoretical density = 8.748 g/cm³; spin magnetization = 5.593 μB per formula unit
1.0
4.468 -0.007 0.006
3.621 2.617 0.006
1.011 0.326 4.636
Cd Co Fe
1 2 1
Cartesian
2.275 0.734 1.162
1.091 0.352 4.426
4.471 1.442 2.533
6.825 2.202 3.485